A plane-wave DFT calculation with PBE was carried out for a relaxed HfCr2Re crystal.

* magnetic moment: 0.0 μB/cell
* ΔH_f (0 K): 0.02 eV/atom
* offset from the most stable computed form: 0.21 eV per formula unit
* total DFT energy (no corrections): -10.3948 eV/atom

Geometry as CIF:
```
data_HfCr2Re
_symmetry_space_group_name_H-M 'P 1'
_symmetry_Int_Tables_number 1
_symmetry_space_group_name_Hall 'P 1'
_cell_length_a 3.0759
_cell_length_b 4.3502
_cell_length_c 4.3502
_cell_angle_alpha 90.00
_cell_angle_beta 90.00
_cell_angle_gamma 90.00
loop_
_atom_site_label
_atom_site_type_symbol
_atom_site_fract_x
_atom_site_fract_y
_atom_site_fract_z
_atom_site_occupancy
Re1 Re 0.5000 0.5000 0.5000 1
Cr1 Cr 0.0000 0.5000 0.0000 1
Cr2 Cr 0.0000 0.0000 0.5000 1
Hf1 Hf 0.5000 0.0000 0.0000 1
```